Record 1
A relaxed structure of K2YGa. Source: the Alexandria database, functional PBE.

The space group is I-42d (No. 122) and the conventional cell measures 11.658, 11.658 and 5.703 Å, with angles of 90.00, 90.00 and 90.00 degrees. The asymmetric unit holds K at (0.136, 0.750, 0.125), Y at (0.000, 0.000, 0.500) and Ga at (0.000, 0.000, 0.000).

For the formation energy, the calculation gives 158 kJ/mol of formula units.

***

Record 2
A relaxed structure of AgTePb4. Source: the Alexandria database, functional PBE.

The space group is F-43m (No. 216) and the conventional cell measures 9.142, 9.142 and 9.142 Å, with angles of 90.00, 90.00 and 90.00 degrees. The asymmetric unit holds Ag at (0.000, 0.000, 0.000), Te at (0.250, 0.250, 0.250) and Pb at (0.126, 0.126, 0.626).

The total energy is -3.162 eV/atom.

***

Record 3
A relaxed structure of Hf12Zr6Pb. Source: the Alexandria database, functional PBE.

The space group is P-1 (No. 2) and the conventional cell measures 7.148, 8.394 and 8.438 Å, with angles of 93.63, 114.92 and 105.17 degrees. The asymmetric unit holds Hf at (0.016, 0.446, 0.179), Hf at (0.081, 0.345, 0.552), Hf at (0.129, 0.234, 0.914), Hf at (0.224, 0.016, 0.662), Hf at (0.297, 0.923, 0.031), Hf at (0.387, 0.713, 0.768), Zr at (0.179, 0.133, 0.279), Zr at (0.332, 0.817, 0.398), Zr at (0.444, 0.603, 0.128) and Pb at (0.500, 0.500, 0.500).

For the formation energy, the calculation gives 44 kJ/mol of formula units.

***

Record 4
A relaxed structure of CaZrMo. Source: the Alexandria database, functional PBE.

The space group is P3m1 (No. 156) and the conventional cell measures 5.1450, 5.1450 and 2.8211 Å, with angles of 90.00, 90.00 and 120.00 degrees. The asymmetric unit holds Ca at (0.0000, 0.0000, 0.0000), Zr at (0.3333, 0.6667, 0.6321) and Mo at (0.6667, 0.3333, 0.2874).

For the formation energy, the calculation gives 172 kJ/mol of formula units.

***

Record 5
A relaxed structure of SrZrZn2. Source: the Alexandria database, functional PBE.

The space group is Pmm2 (No. 25) and the conventional cell measures 3.378, 4.355 and 6.630 Å, with angles of 90.00, 90.00 and 90.00 degrees. The asymmetric unit holds Sr at (0.000, 0.000, 0.000), Zr at (0.500, 0.500, 0.640), Zn at (0.000, 0.000, 0.497) and Zn at (0.500, 0.500, 0.235).

For the formation energy, the calculation gives 58 kJ/mol of formula units.

***

Record 6
A relaxed structure of ReBiPCl2. Source: the Alexandria database, functional PBE.

The space group is P4/mmm (No. 123) and the conventional cell measures 4.846, 4.846 and 4.735 Å, with angles of 90.00, 90.00 and 90.00 degrees. The asymmetric unit holds Re at (0.000, 0.000, 0.000), Bi at (0.500, 0.500, 0.500), P at (0.000, 0.000, 0.500) and Cl at (0.000, 0.500, 0.000).

The total energy is -4.641 eV/atom.

***

Record 7
A relaxed structure of La2CdRh2. Source: the Alexandria database, functional PBE.

The space group is I4/mmm (No. 139) and the conventional cell measures 5.534, 5.534 and 8.321 Å, with angles of 90.00, 90.00 and 90.00 degrees. The asymmetric unit holds La at (0.000, 0.500, 0.250), Cd at (0.000, 0.000, 0.000) and Rh at (0.000, 0.000, 0.333).

For the formation energy, the calculation gives -255 kJ/mol of formula units.

***

Record 8
A relaxed structure of Er3Ga9Co2. Source: the Alexandria database, functional PBE.

The space group is Immm (No. 71) and the conventional cell measures 4.200, 9.426 and 12.108 Å, with angles of 90.00, 90.00 and 90.00 degrees. The asymmetric unit holds Er at (0.000, 0.000, 0.000), Er at (0.000, 0.000, 0.303), Ga at (0.000, 0.283, 0.131), Ga at (0.000, 0.362, 0.350), Ga at (0.000, 0.500, 0.000) and Co at (0.000, 0.175, 0.500).

For the formation energy, the calculation gives -691 kJ/mol of formula units.

***

Record 9
A relaxed structure of LiReAu2. Source: the Alexandria database, functional PBE.

The space group is P4/mmm (No. 123) and the conventional cell measures 2.728, 2.728 and 8.524 Å, with angles of 90.00, 90.00 and 90.00 degrees. The asymmetric unit holds Li at (0.000, 0.000, 0.000), Re at (0.000, 0.000, 0.500) and Au at (0.500, 0.500, 0.243).

For the formation energy, the calculation gives 44 kJ/mol of formula units.

***

Record 10
A relaxed structure of Rb3FeS3. Source: the Alexandria database, functional PBE.

The space group is P2_1/c (No. 14) and the conventional cell measures 8.079, 13.191 and 10.763 Å, with angles of 90.00, 128.44 and 90.00 degrees. The asymmetric unit holds Rb at (0.115, 0.135, 0.468), Rb at (0.149, 0.066, 0.893), Rb at (0.369, 0.703, 0.601), Fe at (0.435, 0.052, 0.342), S at (0.156, 0.157, 0.186), S at (0.361, 0.608, 0.891) and S at (0.381, 0.538, 0.249).

The total energy is -4.296 eV/atom.

***

Record 11
A relaxed structure of La6CoBi2. Source: the Alexandria database, functional PBE.

The space group is P2_1/c (No. 14) and the conventional cell measures 6.686, 8.506 and 12.296 Å, with angles of 90.00, 119.97 and 90.00 degrees. The asymmetric unit holds La at (0.108, 0.182, 0.462), La at (0.315, 0.682, 0.465), La at (0.368, 0.018, 0.265), Co at (0.500, 0.000, 0.500) and Bi at (0.161, 0.108, 0.751).

For the formation energy, the calculation gives -441 kJ/mol of formula units.

***

Record 12
A relaxed structure of Sr4RhCl. Source: the Alexandria database, functional PBE.

The space group is F-43m (No. 216) and the conventional cell measures 9.900, 9.900 and 9.900 Å, with angles of 90.00, 90.00 and 90.00 degrees. The asymmetric unit holds Sr at (0.124, 0.124, 0.376), Rh at (0.250, 0.250, 0.750) and Cl at (0.000, 0.000, 0.000).

The total energy is -2.174 eV/atom.